1.
Entry from OQMD: a relaxed structure of UTcAu (PBE).

```
3
Lattice="0.000 3.226 3.226 3.226 0.000 3.226 3.226 3.226 0.000" Properties=species:S:1:pos:R:3 pbc="T T T"
U 0.000 0.000 0.000
Tc 4.839 4.839 4.839
Au 1.613 1.613 1.613
```

Values from the calculation:
Calculated density ... 13.2 Mg/m³
VASP energy ... -0.2823 hartree per atom



2.
Entry from OQMD: a relaxed structure of NaSb5Pt3 (PBE).

```
9
Lattice="5.683 0.000 0.000 -2.842 4.922 0.000 0.000 0.000 8.436" Properties=species:S:1:pos:R:3 pbc="T T T"
Na 0.000 0.000 0.000
Sb 0.000 0.000 4.218
Sb 0.000 3.281 1.904
Sb 0.000 3.281 6.531
Sb 2.842 1.641 1.904
Sb 2.842 1.641 6.531
Pt -1.421 2.461 4.218
Pt 2.842 0.000 4.218
Pt 1.421 2.461 4.218
```

Values from the calculation:
Calculated density ... 8.6 Mg/m³
VASP energy ... -0.1698 hartree per atom



3.
Entry from OQMD: a relaxed structure of Hf2FeSb2Pd (PBE).

```
12
Lattice="-3.118 3.118 6.162 3.118 -3.118 6.162 3.118 3.118 -6.162" Properties=species:S:1:pos:R:3 pbc="T T T"
Hf 1.559 1.486 -1.540
Hf 1.631 -1.559 7.702
Hf 1.559 1.631 4.621
Hf 1.486 4.677 1.540
Fe 0.000 0.000 0.000
Fe 0.000 3.118 3.081
Sb 4.677 1.462 -1.540
Sb 1.462 1.559 1.540
Sb -1.559 1.656 4.621
Sb 1.656 1.559 7.702
Pd 3.118 0.000 3.081
Pd 0.000 0.000 6.162
```

Values from the calculation:
Calculated density ... 10.6 Mg/m³
VASP energy ... -0.2789 hartree per atom



4.
Entry from OQMD: a relaxed structure of SrNiHg2 (PBE).

```
4
Lattice="0.000 3.598 3.598 3.598 0.000 3.598 3.598 3.598 0.000" Properties=species:S:1:pos:R:3 pbc="T T T"
Sr 0.000 0.000 0.000
Ni 5.398 5.398 5.398
Hg 1.799 1.799 1.799
Hg 3.598 3.598 3.598
```

Values from the calculation:
Calculated density ... 9.8 Mg/m³
VASP energy ... -0.0725 hartree per atom



5.
Entry from OQMD: a relaxed structure of AlZnB4 (PBE).

```
6
Lattice="3.027 0.000 0.000 -1.513 2.621 0.000 0.000 0.000 6.668" Properties=species:S:1:pos:R:3 pbc="T T T"
Al 0.000 0.000 0.000
Zn 0.000 0.000 3.334
B 0.000 1.748 1.574
B 0.000 1.748 5.095
B 1.513 0.874 1.574
B 1.513 0.874 5.095
```

Values from the calculation:
Calculated density ... 4.3 Mg/m³
VASP energy ... -0.1908 hartree per atom



6.
Entry from OQMD: a relaxed structure of ZnB4Sb (PBE).

```
6
Lattice="-1.539 2.670 4.025 1.539 -2.670 4.025 1.539 2.670 -4.025" Properties=species:S:1:pos:R:3 pbc="T T T"
Zn 0.000 0.000 0.000
B 1.539 -0.890 1.940
B 1.539 0.890 1.940
B 0.000 1.780 2.085
B 0.000 3.561 2.085
Sb 0.000 0.000 4.025
```

Values from the calculation:
Calculated density ... 5.8 Mg/m³
VASP energy ... -0.1759 hartree per atom



7.
Entry from OQMD: a relaxed structure of ScFeHgSb (PBE).

```
4
Lattice="0.000 3.402 3.402 3.402 0.000 3.402 3.402 3.402 0.000" Properties=species:S:1:pos:R:3 pbc="T T T"
Sc 0.000 0.000 0.000
Fe 3.402 3.402 3.402
Hg 5.103 5.103 5.103
Sb 1.701 1.701 1.701
```

Values from the calculation:
Calculated density ... 8.9 Mg/m³
VASP energy ... -0.1766 hartree per atom



8.
Entry from OQMD: a relaxed structure of LaTcB4 (PBE).

```
6
Lattice="3.146 0.000 0.000 -1.573 2.724 0.000 0.000 0.000 7.513" Properties=species:S:1:pos:R:3 pbc="T T T"
La 0.000 0.000 0.000
Tc 0.000 0.000 3.756
B 0.000 1.816 2.191
B 0.000 1.816 5.322
B 1.573 0.908 2.191
B 1.573 0.908 5.322
```

Values from the calculation:
Calculated density ... 7.2 Mg/m³
VASP energy ... -0.2655 hartree per atom



9.
Entry from OQMD: a relaxed structure of ZrZn2Au (PBE).

```
4
Lattice="0.000 3.263 3.263 3.263 0.000 3.263 3.263 3.263 0.000" Properties=species:S:1:pos:R:3 pbc="T T T"
Zr 0.000 0.000 0.000
Zn 1.631 1.631 1.631
Zn 3.263 3.263 3.263
Au 4.894 4.894 4.894
```

Values from the calculation:
Calculated density ... 10.0 Mg/m³
VASP energy ... -0.1444 hartree per atom



10.
Entry from OQMD: a relaxed structure of GdZnNO (PBE).

```
8
Lattice="3.702 0.000 0.000 0.000 6.057 0.000 0.000 0.000 5.215" Properties=species:S:1:pos:R:3 pbc="T T T"
Gd 0.000 1.203 0.000
Gd 0.000 4.854 2.608
Zn 1.851 1.837 2.639
Zn 1.851 4.220 0.031
N 0.000 1.058 2.354
N 0.000 5.000 4.962
O 1.851 2.236 4.707
O 1.851 3.822 2.099
```

Values from the calculation:
Calculated density ... 7.2 Mg/m³
VASP energy ... -0.2340 hartree per atom



11.
Entry from OQMD: a relaxed structure of HfTl2Ge (PBE).

```
4
Lattice="0.000 3.634 3.634 3.634 0.000 3.634 3.634 3.634 0.000" Properties=species:S:1:pos:R:3 pbc="T T T"
Hf 0.000 0.000 0.000
Tl 1.817 1.817 1.817
Tl 3.634 3.634 3.634
Ge 5.450 5.450 5.450
```

Values from the calculation:
Calculated density ... 11.4 Mg/m³
VASP energy ... -0.1626 hartree per atom



12.
Entry from OQMD: a relaxed structure of SmCo2SiP (PBE).

```
5
Lattice="-1.951 1.951 4.799 1.951 -1.951 4.799 1.951 1.951 -4.799" Properties=species:S:1:pos:R:3 pbc="T T T"
Sm 0.000 0.000 0.000
Co 1.951 0.000 2.356
Co 0.000 1.951 2.356
Si 0.000 0.000 3.542
P 0.000 0.000 6.032
```

Values from the calculation:
Calculated density ... 7.4 Mg/m³
VASP energy ... -0.2524 hartree per atom



13.
Entry from OQMD: a relaxed structure of NaTmCdS3 (PBE).

```
12
Lattice="1.993 -6.636 0.000 1.993 6.636 0.000 0.000 0.000 10.656" Properties=species:S:1:pos:R:3 pbc="T T T"
Na 1.993 3.424 7.992
Na 1.993 -3.424 2.664
Tm 1.993 0.000 0.000
Tm 1.993 0.000 5.328
Cd 1.993 6.108 2.664
Cd 1.993 -6.108 7.992
S 1.993 4.853 0.541
S 1.993 4.853 4.787
S 1.993 1.071 2.664
S 1.993 -1.071 7.992
S 1.993 -4.853 5.870
S 1.993 -4.853 10.115
```

Values from the calculation:
Calculated density ... 4.7 Mg/m³
VASP energy ... -0.1642 hartree per atom



14.
Entry from OQMD: a relaxed structure of ScIn2CoBr6 (PBE).

```
10
Lattice="0.000 5.259 5.259 5.259 0.000 5.259 5.259 5.259 0.000" Properties=species:S:1:pos:R:3 pbc="T T T"
Sc 0.000 0.000 0.000
In 2.630 2.630 2.630
In 7.889 7.889 7.889
Co 5.259 5.259 5.259
Br 5.259 5.259 2.659
Br 5.259 2.659 5.259
Br 7.859 5.259 5.259
Br 2.659 5.259 5.259
Br 5.259 7.859 5.259
Br 5.259 5.259 7.859
```

Values from the calculation:
Calculated density ... 4.6 Mg/m³
VASP energy ... -0.1369 hartree per atom



15.
Entry from OQMD: a relaxed structure of Cu15As (PBE).

```
32
Lattice="5.068 0.000 0.000 0.000 2.573 0.000 -0.006 0.000 41.838" Properties=species:S:1:pos:R:3 pbc="T T T"
Cu 0.608 0.643 9.237
Cu 0.632 0.643 16.431
Cu 0.629 0.643 20.019
Cu 0.631 0.643 23.615
Cu 0.629 0.643 27.196
Cu 0.629 0.643 30.753
Cu 0.636 0.643 12.862
Cu 1.871 1.930 32.600
Cu 1.899 1.930 7.481
Cu 1.899 1.930 11.044
Cu 1.898 1.930 14.645
Cu 1.898 1.930 18.228
Cu 1.896 1.930 21.815
Cu 1.898 1.930 25.407
Cu 1.901 1.930 28.976
Cu 3.161 0.643 12.861
Cu 3.164 0.643 16.431
Cu 3.166 0.643 20.022
Cu 3.164 0.643 23.610
Cu 3.164 0.643 27.192
Cu 3.163 0.643 30.794
Cu 3.163 0.643 34.357
Cu 3.191 0.643 9.238
Cu 4.426 1.930 28.975
Cu 4.433 1.930 11.085
Cu 4.432 1.930 14.642
Cu 4.431 1.930 18.223
Cu 4.433 1.930 21.818
Cu 4.430 1.930 25.406
Cu 4.454 1.930 32.600
As 0.629 0.643 34.620
As 4.433 1.930 7.217
```

Values from the calculation:
Calculated density ... 6.3 Mg/m³
VASP energy ... -0.1369 hartree per atom



16.
Entry from OQMD: a relaxed structure of BaZn2B2O6 (PBE).

```
44
Lattice="4.926 0.000 0.000 0.000 9.232 0.000 0.000 0.000 12.157" Properties=species:S:1:pos:R:3 pbc="T T T"
Ba 0.143 0.979 3.300
Ba 2.320 8.253 9.378
Ba 2.606 3.637 8.857
Ba 4.783 5.595 2.779
Zn 0.233 1.198 7.363
Zn 0.250 3.145 0.390
Zn 2.214 6.087 6.468
Zn 2.230 8.034 1.285
Zn 2.696 3.418 4.793
Zn 2.713 1.471 11.767
Zn 4.677 7.761 5.688
Zn 4.694 5.814 10.872
B 0.149 1.533 10.125
B 0.285 3.784 6.161
B 2.178 5.448 0.083
B 2.314 7.699 4.046
B 2.612 3.083 2.032
B 2.749 0.832 5.996
B 4.641 8.400 12.074
B 4.778 6.149 8.110
O 0.229 7.717 11.001
O 0.407 8.655 1.069
O 0.498 5.446 9.085
O 0.602 6.953 7.231
O 0.834 5.000 0.181
O 0.944 7.685 4.145
O 1.519 1.547 10.223
O 1.629 4.232 6.259
O 1.861 2.279 1.153
O 1.965 3.786 3.007
O 2.056 0.577 7.147
O 2.234 1.515 4.923
O 2.692 6.131 1.156
O 2.870 5.193 11.088
O 2.961 8.402 3.071
O 3.065 6.895 4.926
O 3.297 8.848 11.976
O 3.407 6.163 8.011
O 3.982 3.069 1.933
O 4.092 0.384 5.897
O 4.325 2.337 11.004
O 4.428 0.830 9.149
O 4.519 4.039 5.009
O 4.697 3.101 7.234
```

Values from the calculation:
Calculated density ... 4.6 Mg/m³
VASP energy ... -0.2404 hartree per atom



17.
Entry from OQMD: a relaxed structure of YZnFeCo (PBE).

```
4
Lattice="0.000 3.194 3.194 3.194 0.000 3.194 3.194 3.194 0.000" Properties=species:S:1:pos:R:3 pbc="T T T"
Y 0.000 0.000 0.000
Zn 1.597 1.597 1.597
Fe 3.194 3.194 3.194
Co 4.792 4.792 4.792
```

Values from the calculation:
Calculated density ... 6.9 Mg/m³
VASP energy ... -0.2090 hartree per atom



18.
Entry from OQMD: a relaxed structure of GdYAs2Pt2 (PBE).

```
12
Lattice="4.305 0.000 0.000 -2.153 3.728 0.000 0.000 0.000 15.303" Properties=species:S:1:pos:R:3 pbc="T T T"
Gd 0.000 0.000 0.000
Gd 0.000 0.000 7.652
Y 0.000 0.000 3.826
Y 0.000 0.000 11.477
As 0.000 2.486 1.786
As 0.000 2.486 5.866
As 2.153 1.243 9.438
As 2.153 1.243 13.517
Pt 0.000 2.486 9.723
Pt 0.000 2.486 13.232
Pt 2.153 1.243 2.072
Pt 2.153 1.243 5.580
```

Values from the calculation:
Calculated density ... 10.6 Mg/m³
VASP energy ... -0.2449 hartree per atom



19.
Entry from OQMD: a relaxed structure of Tb2HoIn3CuIr2 (PBE).

```
9
Lattice="3.873 0.000 0.000 0.000 6.534 3.789 0.000 -6.534 3.789" Properties=species:S:1:pos:R:3 pbc="T T T"
Tb 0.000 -3.831 3.789
Tb 0.000 3.831 3.789
Ho 0.000 0.000 4.697
In 1.937 -1.649 2.527
In 1.937 1.649 2.527
In 1.937 0.000 7.226
Cu 0.000 0.000 1.569
Ir 1.937 -2.164 5.349
Ir 1.937 2.164 5.349
```

Values from the calculation:
Calculated density ... 11.0 Mg/m³
VASP energy ... -0.2006 hartree per atom



20.
Entry from OQMD: a relaxed structure of RbCuNiMo (PBE).

```
4
Lattice="0.000 3.389 3.389 3.389 0.000 3.389 3.389 3.389 0.000" Properties=species:S:1:pos:R:3 pbc="T T T"
Rb 0.000 0.000 0.000
Cu 1.695 1.695 1.695
Ni 5.084 5.084 5.084
Mo 3.389 3.389 3.389
```

Values from the calculation:
Calculated density ... 6.5 Mg/m³
VASP energy ... -0.1402 hartree per atom